Run 1
5
Lattice="5.580 0.000 0.000 0.000 5.580 0.000 0.000 0.000 5.580" Properties=species:S:1:pos:R:3 comment="ZrTl3Ru (PBE, optimized geometry)" vol_a3_per_atom=34.743 dos_ef_per_ev_cell=6.47 magnetic_moment_mub_per_atom=0.5551 pbc="T T T"
Zr 0.000 0.000 0.000
Tl 0.000 0.000 2.790
Tl 0.000 2.790 0.000
Tl 2.790 0.000 0.000
Ru 2.790 2.790 2.790


Run 2
5
Lattice="5.202 0.000 0.000 0.000 5.202 0.000 0.000 0.000 5.202" Properties=species:S:1:pos:R:3 comment="ZrTl3Ru (PBE, optimized geometry)" vol_a3_per_atom=28.148 dos_ef_per_ev_cell=5.39 magnetic_moment_mub_per_atom=0.5908 pbc="T T T"
Zr 0.000 0.000 0.000
Tl 0.000 2.601 2.601
Tl 2.601 0.000 2.601
Tl 2.601 2.601 0.000
Ru 2.601 2.601 2.601


Which one sits at the bottom of the stability order? run 1 does.


Run 1
12
Lattice="2.401 -7.088 0.000 2.401 7.088 0.000 -0.011 0.000 6.753" Properties=species:S:1:pos:R:3 comment="Tm2URu3 (PBE, optimized geometry)" vol_a3_per_atom=19.153 dos_ef_per_ev_cell=9.43 magnetic_moment_mub_per_atom=0.1791 pbc="T T T"
Tm 0.000 0.000 0.000
Tm -0.006 0.000 3.376
Tm 2.401 2.333 0.000
Tm 2.401 -2.333 0.000
U 2.395 2.358 3.376
U 2.395 -2.358 3.376
Ru 2.389 4.649 4.922
Ru 2.401 4.649 1.830
Ru 2.397 0.000 1.806
Ru 2.393 0.000 4.946
Ru 2.389 -4.649 4.922
Ru 2.401 -4.649 1.830


Run 2
6
Lattice="-1.654 2.758 6.751 1.654 -2.758 6.751 1.654 2.758 -6.751" Properties=species:S:1:pos:R:3 comment="Tm2URu3 (PBE, optimized geometry)" vol_a3_per_atom=20.528 dos_ef_per_ev_cell=4.10 magnetic_moment_mub_per_atom=0.0000 pbc="T T T"
Tm 0.000 0.000 2.270
Tm 0.000 0.000 11.232
U 0.000 0.000 6.751
Ru 1.654 0.000 0.000
Ru 1.654 0.000 4.781
Ru 0.000 2.758 1.970


Which one sits at the bottom of the stability order? run 2 does.


Run 1
16
Lattice="7.288 0.000 0.000 0.000 9.169 0.000 0.000 0.000 6.324" Properties=species:S:1:pos:R:3 comment="Y2TmRu (PBE, optimized geometry)" vol_a3_per_atom=26.414 dos_ef_per_ev_cell=11.21 magnetic_moment_mub_per_atom=0.0000 pbc="T T T"
Y 1.287 0.585 1.081
Y 1.287 4.000 1.081
Y 2.357 5.169 4.243
Y 2.357 8.585 4.243
Y 4.931 0.585 2.081
Y 4.931 4.000 2.081
Y 6.001 5.169 5.243
Y 6.001 8.585 5.243
Tm 0.312 2.292 4.012
Tm 3.332 6.877 0.849
Tm 3.956 2.292 5.475
Tm 6.976 6.877 2.313
Ru 0.843 6.877 6.138
Ru 2.801 2.292 2.976
Ru 4.487 6.877 3.348
Ru 6.445 2.292 0.186


Run 2
8
Lattice="1.955 -5.922 0.000 1.955 5.922 0.000 0.000 0.000 9.110" Properties=species:S:1:pos:R:3 comment="Y2TmRu (PBE, optimized geometry)" vol_a3_per_atom=26.361 dos_ef_per_ev_cell=6.29 magnetic_moment_mub_per_atom=0.0000 pbc="T T T"
Y 1.955 4.244 5.162
Y 1.955 4.244 8.502
Y 1.955 -4.244 0.608
Y 1.955 -4.244 3.947
Tm 1.955 0.918 6.832
Tm 1.955 -0.918 2.277
Ru 1.955 3.078 2.277
Ru 1.955 -3.078 6.832


Which one sits at the bottom of the stability order? run 2 does.


Run 1
4
Lattice="1.744 1.007 10.606 -1.744 1.007 10.606 0.000 -2.014 10.606" Properties=species:S:1:pos:R:3 comment="Y2TmRu (PBE, optimized geometry)" vol_a3_per_atom=27.945 dos_ef_per_ev_cell=7.29 magnetic_moment_mub_per_atom=0.0127 pbc="T T T"
Y 0.000 0.000 3.374
Y 0.000 0.000 28.443
Tm 0.000 0.000 0.000
Ru 0.000 0.000 15.909


Run 2
4
Lattice="3.442 0.000 0.000 0.000 3.442 0.000 0.000 0.000 8.827" Properties=species:S:1:pos:R:3 comment="Y2TmRu (PBE, optimized geometry)" vol_a3_per_atom=26.151 dos_ef_per_ev_cell=4.41 magnetic_moment_mub_per_atom=0.0002 pbc="T T T"
Y 0.000 0.000 1.656
Y 0.000 0.000 7.171
Tm 1.721 1.721 4.413
Ru 1.721 1.721 0.000


Which one sits at the bottom of the stability order? run 1 does.


Run 1
10
Lattice="5.270 0.000 0.000 0.000 4.329 0.000 -1.349 0.000 10.723" Properties=species:S:1:pos:R:3 comment="YTm2Ru2 (PBE, optimized geometry)" vol_a3_per_atom=24.462 dos_ef_per_ev_cell=8.13 magnetic_moment_mub_per_atom=0.0000 pbc="T T T"
Y -0.042 1.082 2.849
Y 3.963 3.246 7.875
Tm 0.005 1.082 10.436
Tm 1.421 1.082 6.692
Tm 2.500 3.246 4.031
Tm 3.916 3.246 0.287
Ru -0.152 3.246 5.212
Ru 1.245 3.246 1.500
Ru 2.676 1.082 9.223
Ru 4.073 1.082 5.511


Run 2
5
Lattice="1.696 -10.020 0.000 1.696 10.020 0.000 0.000 0.000 3.363" Properties=species:S:1:pos:R:3 comment="YTm2Ru2 (PBE, optimized geometry)" vol_a3_per_atom=22.851 dos_ef_per_ev_cell=3.01 magnetic_moment_mub_per_atom=0.0000 pbc="T T T"
Y 0.000 0.000 0.000
Tm 1.696 6.680 0.000
Tm 1.696 -6.680 0.000
Ru 1.696 1.828 1.681
Ru 1.696 -1.828 1.681


Which one sits at the bottom of the stability order? run 1 does.


Run 1
4
Lattice="0.000 3.427 3.427 3.427 0.000 3.427 3.427 3.427 0.000" Properties=species:S:1:pos:R:3 comment="Tm2ZnRu (PBE, optimized geometry)" vol_a3_per_atom=20.120 dos_ef_per_ev_cell=3.71 magnetic_moment_mub_per_atom=0.0000 pbc="T T T"
Tm 1.713 1.713 1.713
Tm 5.140 5.140 5.140
Zn 0.000 0.000 0.000
Ru 3.427 3.427 3.427


Run 2
4
Lattice="3.397 0.000 0.000 0.000 3.397 0.000 0.000 0.000 7.138" Properties=species:S:1:pos:R:3 comment="Tm2ZnRu (PBE, optimized geometry)" vol_a3_per_atom=20.598 dos_ef_per_ev_cell=2.02 magnetic_moment_mub_per_atom=0.0000 pbc="T T T"
Tm 0.000 0.000 1.634
Tm 0.000 0.000 5.504
Zn 1.699 1.699 3.569
Ru 1.699 1.699 0.000


Run 3
4
Lattice="1.751 1.011 8.347 -1.751 1.011 8.347 0.000 -2.022 8.347" Properties=species:S:1:pos:R:3 comment="Tm2ZnRu (PBE, optimized geometry)" vol_a3_per_atom=22.163 dos_ef_per_ev_cell=4.09 magnetic_moment_mub_per_atom=0.0002 pbc="T T T"
Tm 0.000 0.000 6.068
Tm 0.000 0.000 18.974
Zn 0.000 0.000 0.000
Ru 0.000 0.000 12.521


Which one sits at the bottom of the stability order? run 3 does.


Run 1
11
Lattice="8.538 -2.553 0.000 8.538 2.553 0.000 -2.162 0.000 6.337" Properties=species:S:1:pos:R:3 comment="Tm8Zn2Ru (PBE, optimized geometry)" vol_a3_per_atom=25.112 dos_ef_per_ev_cell=7.72 magnetic_moment_mub_per_atom=0.0000 pbc="T T T"
Tm -0.182 0.000 1.833
Tm 1.630 0.000 5.099
Tm 4.648 0.000 3.389
Tm 6.829 0.000 0.421
Tm 8.086 0.000 5.916
Tm 10.267 0.000 2.949
Tm 13.285 0.000 1.238
Tm 15.098 0.000 4.504
Zn 2.669 0.000 1.338
Zn 12.246 0.000 4.999
Ru 7.458 0.000 3.169


Run 2
11
Lattice="3.723 -7.777 0.000 3.723 7.777 0.000 -3.221 0.000 5.006" Properties=species:S:1:pos:R:3 comment="Tm8Zn2Ru (PBE, optimized geometry)" vol_a3_per_atom=26.355 dos_ef_per_ev_cell=11.27 magnetic_moment_mub_per_atom=0.0000 pbc="T T T"
Tm 0.000 0.000 0.000
Tm 1.589 3.002 0.713
Tm 2.157 5.948 2.397
Tm 1.363 1.781 4.169
Tm 1.589 -3.002 0.713
Tm 2.978 0.000 1.794
Tm 1.363 -1.781 4.169
Tm 2.157 -5.948 2.397
Zn 3.630 3.426 3.273
Zn 3.630 -3.426 3.273
Ru -0.711 0.000 4.192


Which one sits at the bottom of the stability order? run 2 does.


Run 1
14
Lattice="-4.293 4.293 4.238 4.293 -4.293 4.238 4.293 4.293 -4.238" Properties=species:S:1:pos:R:3 comment="Tm4ZnRu2 (PBE, optimized geometry)" vol_a3_per_atom=22.320 dos_ef_per_ev_cell=7.70 magnetic_moment_mub_per_atom=0.0000 pbc="T T T"
Tm 4.896 1.526 -0.602
Tm 2.767 3.691 -2.720
Tm 1.526 0.602 1.517
Tm 1.526 3.691 0.602
Tm 2.767 0.602 4.839
Tm 4.896 2.767 2.720
Tm -0.602 2.767 3.636
Tm -0.602 1.526 6.958
Zn 4.293 0.000 2.119
Zn 0.000 0.000 4.238
Ru 2.147 1.220 -1.059
Ru 3.073 -2.147 5.297
Ru 2.147 3.073 3.178
Ru 1.220 6.440 1.059


Run 2
7
Lattice="4.783 0.000 0.000 0.000 4.783 0.000 0.000 0.000 6.765" Properties=species:S:1:pos:R:3 comment="Tm4ZnRu2 (PBE, optimized geometry)" vol_a3_per_atom=22.109 dos_ef_per_ev_cell=4.17 magnetic_moment_mub_per_atom=0.0000 pbc="T T T"
Tm 0.000 2.392 1.661
Tm 0.000 2.392 5.104
Tm 2.392 0.000 1.661
Tm 2.392 0.000 5.104
Zn 0.000 0.000 3.382
Ru 0.000 0.000 0.000
Ru 2.392 2.392 3.382


Which one sits at the bottom of the stability order? run 1 does.


Run 1
6
Lattice="-2.373 2.644 4.806 2.373 -2.644 4.806 2.373 2.644 -4.806" Properties=species:S:1:pos:R:3 comment="Tm2Zn3Ru (PBE, optimized geometry)" vol_a3_per_atom=20.098 dos_ef_per_ev_cell=2.76 magnetic_moment_mub_per_atom=0.0000 pbc="T T T"
Tm 0.000 0.000 2.039
Tm 0.000 0.000 7.574
Zn 2.373 0.000 0.000
Zn 2.373 0.000 3.643
Zn 0.000 2.644 1.163
Ru 0.000 0.000 4.806


Run 2
6
Lattice="4.577 -2.647 0.000 4.577 2.647 0.000 -3.052 0.000 4.455" Properties=species:S:1:pos:R:3 comment="Tm2Zn3Ru (PBE, optimized geometry)" vol_a3_per_atom=17.991 dos_ef_per_ev_cell=3.00 magnetic_moment_mub_per_atom=0.0000 pbc="T T T"
Tm 0.002 0.000 1.704
Tm 6.100 0.000 2.752
Zn 2.289 1.323 0.000
Zn 2.289 -1.323 0.000
Zn 4.577 0.000 0.000
Ru 3.051 0.000 2.228


Which one sits at the bottom of the stability order? run 1 does.


Run 1
5
Lattice="5.179 0.000 0.000 0.000 5.179 0.000 0.000 0.000 5.179" Properties=species:S:1:pos:R:3 comment="U4Ru (PBE, optimized geometry)" vol_a3_per_atom=27.784 dos_ef_per_ev_cell=28.14 magnetic_moment_mub_per_atom=2.2584 pbc="T T T"
U 0.000 0.000 0.000
U 0.000 2.590 2.590
U 2.590 0.000 2.590
U 2.590 2.590 0.000
Ru 2.590 2.590 2.590


Run 2
5
Lattice="-3.103 3.103 2.554 3.103 -3.103 2.554 3.103 3.103 -2.554" Properties=species:S:1:pos:R:3 comment="U4Ru (PBE, optimized geometry)" vol_a3_per_atom=19.672 dos_ef_per_ev_cell=9.26 magnetic_moment_mub_per_atom=0.0000 pbc="T T T"
U 4.490 0.813 0.000
U 0.813 1.716 0.000
U 2.290 1.387 2.554
U -1.387 2.290 2.554
Ru 0.000 0.000 2.554


Which one sits at the bottom of the stability order? run 1 does.


Run 1
3
Lattice="-1.460 1.460 5.789 1.460 -1.460 5.789 1.460 1.460 -5.789" Properties=species:S:1:pos:R:3 comment="UVRu (PBE, optimized geometry)" vol_a3_per_atom=16.446 dos_ef_per_ev_cell=5.60 magnetic_moment_mub_per_atom=0.0006 pbc="T T T"
U 0.000 0.000 0.000
V 0.000 0.000 7.942
Ru 0.000 0.000 3.588


Run 2
3
Lattice="4.415 0.000 0.000 -2.207 3.823 0.000 0.000 0.000 2.821" Properties=species:S:1:pos:R:3 comment="UVRu (PBE, optimized geometry)" vol_a3_per_atom=15.870 dos_ef_per_ev_cell=3.83 magnetic_moment_mub_per_atom=0.0000 pbc="T T T"
U 0.000 0.000 0.000
V 0.000 2.549 2.283
Ru 2.207 1.274 0.874


Which one sits at the bottom of the stability order? run 2 does.


Run 1
4
Lattice="1.426 0.823 9.292 -1.426 0.823 9.292 0.000 -1.647 9.292" Properties=species:S:1:pos:R:3 comment="URu2W (PBE, optimized geometry)" vol_a3_per_atom=16.370 dos_ef_per_ev_cell=6.34 magnetic_moment_mub_per_atom=0.0038 pbc="T T T"
U 0.000 0.000 0.000
Ru 0.000 0.000 6.782
Ru 0.000 0.000 21.093
W 0.000 0.000 13.938


Run 2
4
Lattice="4.240 0.000 0.000 0.000 4.240 0.000 0.000 0.000 3.720" Properties=species:S:1:pos:R:3 comment="URu2W (PBE, optimized geometry)" vol_a3_per_atom=16.722 dos_ef_per_ev_cell=5.62 magnetic_moment_mub_per_atom=0.0000 pbc="T T T"
U 0.000 0.000 0.000
Ru 0.000 2.120 1.860
Ru 2.120 0.000 1.860
W 2.120 2.120 0.000


Which one sits at the bottom of the stability order? run 1 does.